# SrPW2 PBE relaxed
data_SrPW2
_chemical_formula_sum 'Sr1 P1 W2'
_cell_length_a 2.847
_cell_length_b 5.256
_cell_length_c 5.137
_cell_angle_alpha 90.00
_cell_angle_beta 91.84
_cell_angle_gamma 90.00
_space_group_name_H-M_alt 'P 1 2/m 1'
_space_group_IT_number 10
loop_
_space_group_symop_operation_xyz
'x,y,z'
'-x,-y,-z'
'-x,y,-z'
'x,-y,z'
loop_
_atom_site_label
_atom_site_fract_x
_atom_site_fract_y
_atom_site_fract_z
Sr1 0.000 0.000 0.000
P1 0.500 0.000 0.500
W1 0.399 0.500 0.739
# V: 77 Å³/cell
# ΔE_f: 815 meV/atom

# NaCdAu3 PBE relaxed
data_NaCdAu3
_chemical_formula_sum 'Na1 Cd1 Au3'
_cell_length_a 5.264
_cell_length_b 5.264
_cell_length_c 5.264
_cell_angle_alpha 90.00
_cell_angle_beta 90.00
_cell_angle_gamma 90.00
_space_group_name_H-M_alt 'P m -3 m'
_space_group_IT_number 221
_space_group_name_Hall '-P 4 2 3'
loop_
_atom_site_label
_atom_site_fract_x
_atom_site_fract_y
_atom_site_fract_z
Na1 0.000 0.000 0.000
Cd1 0.500 0.500 0.500
Au1 0.000 0.500 0.500
# V: 146 Å³/cell
# ΔE_f: 189 meV/atom
# ΔE to the lowest computed polymorph: 1.85 eV/f.u.

# SmDy2Th3S6 PBE relaxed
data_SmDy2Th3S6
_chemical_formula_sum 'Sm2 Dy4 Th6 S12'
_cell_length_a 6.842
_cell_length_b 11.754
_cell_length_c 7.073
_cell_angle_alpha 90.00
_cell_angle_beta 108.48
_cell_angle_gamma 90.00
_space_group_name_H-M_alt 'C 1 2/m 1'
_space_group_IT_number 12
loop_
_space_group_symop_operation_xyz
'x,y,z'
'-x,-y,-z'
'-x,y,-z'
'x,-y,z'
'x+1/2,y+1/2,z'
'-x+1/2,-y+1/2,-z'
'-x+1/2,y+1/2,-z'
'x+1/2,-y+1/2,z'
loop_
_atom_site_label
_atom_site_fract_x
_atom_site_fract_y
_atom_site_fract_z
Sm1 0.000 0.000 0.000
Dy1 0.000 0.333 0.000
Th1 0.000 0.164 0.500
Th2 0.000 0.500 0.500
S1 0.239 0.500 0.235
S2 0.249 0.170 0.238
# V: 540 Å³/cell
# uncorrected formation energy: -1907 meV per atom

# In5Ga3Cl12 PBE relaxed
data_In5Ga3Cl12
_chemical_formula_sum 'In40 Ga24 Cl96'
_cell_length_a 17.506
_cell_length_b 17.506
_cell_length_c 17.506
_cell_angle_alpha 90.00
_cell_angle_beta 90.00
_cell_angle_gamma 90.00
_space_group_name_H-M_alt 'I a -3 d'
_space_group_IT_number 230
_space_group_name_Hall '-I 4bd 2c 3'
loop_
_atom_site_label
_atom_site_fract_x
_atom_site_fract_y
_atom_site_fract_z
In1 0.000 0.000 0.000
In2 0.000 0.250 0.375
Ga1 0.000 0.250 0.125
Cl1 0.033 0.069 0.661
# V: 5365 Å³/cell
# uncorrected formation energy: -771 meV per atom

# YGa2Si PBE relaxed
data_YGa2Si
_chemical_formula_sum 'Y3 Ga6 Si3'
_cell_length_a 4.3150
_cell_length_b 4.3150
_cell_length_c 14.9580
_cell_angle_alpha 90.00
_cell_angle_beta 90.00
_cell_angle_gamma 120.00
_space_group_name_H-M_alt 'R -3 m'
_space_group_IT_number 166
_space_group_name_Hall '-R 3 2"'
loop_
_atom_site_label
_atom_site_fract_x
_atom_site_fract_y
_atom_site_fract_z
Y1 0.0000 0.0000 0.0000
Ga1 0.0000 0.0000 0.2178
Si1 0.0000 0.0000 0.5000
# V: 241 Å³/cell
# uncorrected formation energy: -257 meV per atom

# BaAs2PSe PBE relaxed
data_BaAs2PSe
_chemical_formula_sum 'Ba1 As2 P1 Se1'
_cell_length_a 6.150
_cell_length_b 6.150
_cell_length_c 5.929
_cell_angle_alpha 90.00
_cell_angle_beta 90.00
_cell_angle_gamma 90.00
_space_group_name_H-M_alt 'P 4/m m m'
_space_group_IT_number 123
_space_group_name_Hall '-P 4 2'
loop_
_atom_site_label
_atom_site_fract_x
_atom_site_fract_y
_atom_site_fract_z
Ba1 0.000 0.000 0.000
As1 0.000 0.500 0.000
P1 0.500 0.500 0.500
Se1 0.000 0.000 0.500
# V: 224 Å³/cell
# uncorrected formation energy: 1471 meV per atom
# ΔE to the lowest computed polymorph: 8.70 eV/f.u.

# Ru2RhF PBE relaxed
data_Ru2RhF
_chemical_formula_sum 'Ru8 Rh4 F4'
_cell_length_a 6.499
_cell_length_b 6.499
_cell_length_c 5.189
_cell_angle_alpha 90.00
_cell_angle_beta 90.00
_cell_angle_gamma 90.00
_space_group_name_H-M_alt 'I -4 2 d'
_space_group_IT_number 122
_space_group_name_Hall 'I -4 2bw'
loop_
_atom_site_label
_atom_site_fract_x
_atom_site_fract_y
_atom_site_fract_z
Ru1 0.208 0.750 0.125
Rh1 0.000 0.000 0.500
F1 0.000 0.000 0.000
# V: 219 Å³/cell
# uncorrected formation energy: 493 meV per atom
# ΔE to the lowest computed polymorph: 0.56 eV/f.u.

# Na3Pm3NbO8 PBE relaxed
data_Na3Pm3NbO8
_chemical_formula_sum 'Na9 Pm9 Nb3 O24'
_cell_length_a 6.9473
_cell_length_b 6.9473
_cell_length_c 16.8096
_cell_angle_alpha 90.00
_cell_angle_beta 90.00
_cell_angle_gamma 120.00
_space_group_name_H-M_alt 'R -3 m'
_space_group_IT_number 166
_space_group_name_Hall '-R 3 2"'
loop_
_atom_site_label
_atom_site_fract_x
_atom_site_fract_y
_atom_site_fract_z
Na1 0.0000 0.5000 0.0000
Pm1 0.0000 0.5000 0.5000
Nb1 0.0000 0.0000 0.5000
O1 0.0000 0.0000 0.2402
O2 0.0341 0.5170 0.2327
# V: 703 Å³/cell
# uncorrected formation energy: -2593 meV per atom